(1)
Entry from Alexandria via LeMat-Bulk: a relaxed structure of MgTaSn2 (GGA-PBE).

## Properties
Total magnetization ... 0.00 μB per formula unit
Energy relative to the elements ... 154 meV/atom
Calculated volume ... 23.7 Å³/atom
VASP energy ... -20.8 eV per cell
Space group ... R-3m

The structure in POSCAR format:
```
MgTaSn2
1.0
-2.589 -0.272 -1.777
-0.709 -2.764 -1.339
-6.918 -3.835 7.871
Mg Ta Sn
1 1 2
Direct
0.000 0.000 0.000
0.500 0.500 0.500
0.906 0.906 0.281
0.094 0.094 0.719
```

=====

(2)
Entry from Alexandria via LeMat-Bulk: a relaxed structure of La3HoPb3 (GGA-PBE).

## Properties
Total magnetization ... 0.00 μB per formula unit
Energy relative to the elements ... -358 meV/atom
Calculated volume ... 35.9 Å³/atom
VASP energy ... -66.0 eV per cell
Space group ... C2/m

The structure in POSCAR format:
```
La3HoPb3
1.0
8.048 0.162 0.209
-3.440 7.278 0.209
-0.494 -0.798 8.450
Ho Pb La
2 6 6
Direct
0.730 0.730 0.922
0.270 0.270 0.078
0.857 0.511 0.705
0.946 0.946 0.217
0.143 0.489 0.295
0.054 0.054 0.783
0.489 0.143 0.295
0.511 0.857 0.705
0.384 0.384 0.639
0.616 0.616 0.361
0.770 0.230 0.000
0.230 0.770 0.000
0.164 0.836 0.500
0.836 0.164 0.500
```

=====

(3)
Entry from Alexandria via LeMat-Bulk: a relaxed structure of Sr3Ac2PaAs6 (GGA-PBE).

## Properties
Total magnetization ... 0.00 μB per formula unit
Energy relative to the elements ... -1223 meV/atom
Calculated volume ... 31.2 Å³/atom
VASP energy ... -65.3 eV per cell
Space group ... C2/m

The structure in POSCAR format:
```
Sr3Ac2PaAs6
1.0
-5.815 5.097 0.364
1.603 -4.496 6.094
5.973 4.815 0.328
As Ac Sr Pa
6 2 3 1
Direct
0.615 0.923 0.769
0.923 0.615 0.769
0.077 0.385 0.231
0.385 0.077 0.231
0.229 0.229 0.770
0.771 0.771 0.230
0.666 0.334 0.000
0.334 0.666 0.000
0.500 0.500 0.500
0.829 0.171 0.500
0.171 0.829 0.500
0.000 0.000 0.000
```

=====

(4)
Entry from Alexandria via LeMat-Bulk: a relaxed structure of LaFeCu2Os (GGA-PBE).

## Properties
Total magnetization ... 1.13 μB per formula unit
Energy relative to the elements ... 430 meV/atom
Calculated volume ... 18.6 Å³/atom
VASP energy ... -30.7 eV per cell
Space group ... P4/mmm

The structure in POSCAR format:
```
LaFeCu2Os
1.0
-3.819 1.898 -1.606
-2.311 -3.795 1.012
-0.900 1.633 4.068
Os Fe Cu La
1 1 2 1
Direct
0.000 0.000 0.500
0.000 0.000 0.000
0.000 0.500 0.000
0.500 0.000 0.000
0.500 0.500 0.500
```